## RhAuBr2 (GGA-PBE)

Data for crystalline RhAuBr2 at its relaxed geometry. Values from VASP.

Results
- Formation energy from raw total energies: 128 meV/atom
- Space-group type: Pm
- Total energy: -13.461 eV/cell

```
&SYSTEM
  ibrav = 0, nat = 4, ntyp = 3
/
ATOMIC_SPECIES
Rh 102.91 Rh.upf
Au 196.97 Au.upf
Br 79.90 Br.upf
CELL_PARAMETERS angstrom
3.718 0.000 0.000
0.000 4.756 0.110
0.000 1.630 6.211
ATOMIC_POSITIONS crystal
Rh 0.000 0.451 0.560
Au 0.500 0.686 0.743
Br 0.000 0.023 0.865
Br 0.500 0.340 0.332
```